(1)
The following is a PBE calculation of a relaxed structure of SnP2Pt, from the Alexandria database.

Values from the calculation:
- DOS at the Fermi energy: 1.42 states/eV/f.u.
- Total energy: -5.404 eV per atom

Structure (CIF):
```
data_SnP2Pt
_chemical_formula_sum 'Sn4 P8 Pt4'
_symmetry_space_group_name_H-M 'I -4 2 d'
_symmetry_Int_Tables_number 122
_symmetry_space_group_name_Hall 'I -4 2bw'
_cell_length_a 5.678
_cell_length_b 5.678
_cell_length_c 11.346
_cell_angle_alpha 90.00
_cell_angle_beta 90.00
_cell_angle_gamma 90.00
loop_
_atom_site_label
_atom_site_fract_x
_atom_site_fract_y
_atom_site_fract_z
Sn1 0.000 0.000 0.000
P1 0.206 0.250 0.625
Pt1 0.000 0.000 0.500
```

=====

(2)
The following is a PBE calculation of a relaxed structure of SnPPt4, from the Alexandria database.

Values from the calculation:
- DOS at the Fermi energy: 2.07 states/eV/f.u.
- Total energy: -5.882 eV per atom

Structure (CIF):
```
data_SnPPt4
_chemical_formula_sum 'Sn4 P4 Pt16'
_symmetry_space_group_name_H-M 'C 1 2/m 1'
_symmetry_Int_Tables_number 12
_symmetry_space_group_name_Hall '-C 2y'
_cell_length_a 13.134
_cell_length_b 5.522
_cell_length_c 5.848
_cell_angle_alpha 90.00
_cell_angle_beta 94.75
_cell_angle_gamma 90.00
loop_
_atom_site_label
_atom_site_fract_x
_atom_site_fract_y
_atom_site_fract_z
Sn1 0.250 0.000 0.211
P1 0.105 0.500 0.289
Pt1 0.000 0.241 0.500
Pt2 0.100 0.245 0.960
Pt3 0.215 0.000 0.638
```

=====

(3)
The following is a PBE calculation of a relaxed structure of Sn3PPt, from the Alexandria database.

Values from the calculation:
- Offset from the most stable computed form: 359.4 meV/atom
- DOS at the Fermi energy: 3.53 states/eV/f.u.
- Total energy: -4.042 eV per atom

Structure (CIF):
```
data_Sn3PPt
_chemical_formula_sum 'Sn3 P1 Pt1'
_symmetry_space_group_name_H-M 'P m -3 m'
_symmetry_Int_Tables_number 221
_symmetry_space_group_name_Hall '-P 4 2 3'
_cell_length_a 5.059
_cell_length_b 5.059
_cell_length_c 5.059
_cell_angle_alpha 90.00
_cell_angle_beta 90.00
_cell_angle_gamma 90.00
loop_
_atom_site_label
_atom_site_fract_x
_atom_site_fract_y
_atom_site_fract_z
Sn1 0.000 0.000 0.500
P1 0.000 0.000 0.000
Pt1 0.500 0.500 0.500
```

=====

(4)
The following is a PBE calculation of a relaxed structure of Sn3PPt, from the Alexandria database.

Values from the calculation:
- Offset from the most stable computed form: 0.0 meV/atom
- DOS at the Fermi energy: 2.00 states/eV/f.u.
- Total energy: -4.401 eV per atom

Structure (CIF):
```
data_Sn3PPt
_chemical_formula_sum 'Sn3 P1 Pt1'
_symmetry_space_group_name_H-M 'P m -3 m'
_symmetry_Int_Tables_number 221
_symmetry_space_group_name_Hall '-P 4 2 3'
_cell_length_a 5.181
_cell_length_b 5.181
_cell_length_c 5.181
_cell_angle_alpha 90.00
_cell_angle_beta 90.00
_cell_angle_gamma 90.00
loop_
_atom_site_label
_atom_site_fract_x
_atom_site_fract_y
_atom_site_fract_z
Sn1 0.000 0.000 0.500
P1 0.500 0.500 0.500
Pt1 0.000 0.000 0.000
```

=====

(5)
The following is a PBE calculation of a relaxed structure of SnP3Pt, from the Alexandria database.

Values from the calculation:
- Offset from the most stable computed form: 0.0 meV/atom
- DOS at the Fermi energy: 4.93 states/eV/f.u.
- Total energy: -4.610 eV per atom

Structure (CIF):
```
data_SnP3Pt
_chemical_formula_sum 'Sn1 P3 Pt1'
_symmetry_space_group_name_H-M 'P m -3 m'
_symmetry_Int_Tables_number 221
_symmetry_space_group_name_Hall '-P 4 2 3'
_cell_length_a 4.753
_cell_length_b 4.753
_cell_length_c 4.753
_cell_angle_alpha 90.00
_cell_angle_beta 90.00
_cell_angle_gamma 90.00
loop_
_atom_site_label
_atom_site_fract_x
_atom_site_fract_y
_atom_site_fract_z
Sn1 0.000 0.000 0.000
P1 0.000 0.500 0.500
Pt1 0.500 0.500 0.500
```

=====

(6)
The following is a PBE calculation of a relaxed structure of SrSn2P2Pt7, from the Alexandria database.

Values from the calculation:
- DOS at the Fermi energy: 4.15 states/eV/f.u.
- Total energy: -5.721 eV per atom

Structure (CIF):
```
data_SrSn2P2Pt7
_chemical_formula_sum 'Sr2 Sn4 P4 Pt14'
_symmetry_space_group_name_H-M 'I 4/m m m'
_symmetry_Int_Tables_number 139
_symmetry_space_group_name_Hall '-I 4 2'
_cell_length_a 3.967
_cell_length_b 3.967
_cell_length_c 30.423
_cell_angle_alpha 90.00
_cell_angle_beta 90.00
_cell_angle_gamma 90.00
loop_
_atom_site_label
_atom_site_fract_x
_atom_site_fract_y
_atom_site_fract_z
Sr1 0.000 0.000 0.000
Sn1 0.000 0.000 0.213
P1 0.000 0.000 0.381
Pt1 0.000 0.000 0.305
Pt2 0.000 0.000 0.500
Pt3 0.000 0.500 0.078
```

=====

(7)
The following is a PBE calculation of a relaxed structure of Sr2SnPPt6, from the Alexandria database.

Values from the calculation:
- DOS at the Fermi energy: 2.78 states/eV/f.u.
- Total energy: -5.611 eV per atom

Structure (CIF):
```
data_Sr2SnPPt6
_chemical_formula_sum 'Sr4 Sn2 P2 Pt12'
_symmetry_space_group_name_H-M 'C 1 2/m 1'
_symmetry_Int_Tables_number 12
_symmetry_space_group_name_Hall '-C 2y'
_cell_length_a 11.702
_cell_length_b 5.750
_cell_length_c 8.113
_cell_angle_alpha 90.00
_cell_angle_beta 126.60
_cell_angle_gamma 90.00
loop_
_atom_site_label
_atom_site_fract_x
_atom_site_fract_y
_atom_site_fract_z
Sr1 0.238 0.000 0.192
Sn1 0.000 0.500 0.000
P1 0.000 0.000 0.500
Pt1 0.030 0.254 0.304
Pt2 0.244 0.000 0.636
```

=====

(8)
The following is a PBE calculation of a relaxed structure of TbSn2P2Pt7, from the Alexandria database.

Values from the calculation:
- DOS at the Fermi energy: 3.48 states/eV/f.u.
- Total energy: -6.172 eV per atom

Structure (CIF):
```
data_TbSn2P2Pt7
_chemical_formula_sum 'Tb2 Sn4 P4 Pt14'
_symmetry_space_group_name_H-M 'C 1 2/m 1'
_symmetry_Int_Tables_number 12
_symmetry_space_group_name_Hall '-C 2y'
_cell_length_a 5.581
_cell_length_b 5.579
_cell_length_c 15.325
_cell_angle_alpha 90.00
_cell_angle_beta 100.44
_cell_angle_gamma 90.00
loop_
_atom_site_label
_atom_site_fract_x
_atom_site_fract_y
_atom_site_fract_z
Tb1 0.000 0.000 0.000
Sn1 0.213 0.000 0.425
P1 0.118 0.500 0.236
Pt1 0.000 0.500 0.000
Pt2 0.176 0.250 0.852
Pt3 0.195 0.500 0.389
```

=====

| no. | ΔE_f (eV/atom) |
| --- | --- |
| 1 | -0.19 |
| 2 | -0.29 |
| 3 | 0.65 |
| 4 | 0.29 |
| 5 | 0.64 |
| 6 | -0.49 |
| 7 | -0.71 |
| 8 | -0.69 |